(1)
## AcSnRh (PBE-GGA)

Data for a geometry-optimized AcSnRh structure.

Lattice parameters (Å, degrees): 7.703 4.507 12.977 90.00 90.24 90.00
Space group P2_1/m (No. 11)
One atom of each set of equivalent atoms:
Ac (0.033, 0.250, 0.125) [2 per cell]
Ac (0.150, 0.250, 0.419) [2 per cell]
Ac (0.466, 0.750, 0.790) [2 per cell]
Sn (0.136, 0.250, 0.704) [2 per cell]
Sn (0.352, 0.750, 0.043) [2 per cell]
Sn (0.490, 0.750, 0.414) [2 per cell]
Rh (0.234, 0.750, 0.256) [2 per cell]
Rh (0.271, 0.250, 0.926) [2 per cell]
Rh (0.277, 0.750, 0.594) [2 per cell]

Computed properties:
Offset from the most stable computed form in kJ/mol of formula units: 0
Calculated formation energy in meV/atom: -782
Calculated density in g cm⁻³: 9.92


(2)
## ReRhBr2 (PBE-GGA)

Data for a geometry-optimized ReRhBr2 structure.

Lattice parameters (Å, degrees): 3.083 3.161 8.731 90.00 99.56 90.00
Space group Pm (No. 6)
One atom of each set of equivalent atoms:
Re (0.000, 0.000, 0.000) [1 per cell]
Rh (0.578, 0.500, 0.167) [1 per cell]
Br (0.179, 0.000, 0.380) [1 per cell]
Br (0.893, 0.500, 0.772) [1 per cell]

Computed properties:
Formation energy without anion corrections in eV/atom: 0.2575
Offset from the most stable computed form in kJ/mol of formula units: 0
Calculated density in g cm⁻³: 8.89


(3)
## KCrIr2 (PBE-GGA)

Data for a geometry-optimized KCrIr2 structure.

Lattice parameters (Å, degrees): 4.622 4.622 6.561 90.00 90.00 90.00
Space group I-4m2 (No. 119)
One atom of each set of equivalent atoms:
K (0.000, 0.000, 0.000) [2 per cell]
Cr (0.000, 0.500, 0.750) [2 per cell]
Ir (0.000, 0.000, 0.500) [2 per cell]
Ir (0.000, 0.500, 0.250) [2 per cell]

Computed properties:
Offset from the most stable computed form in kJ/mol of formula units: 311
Calculated formation energy in meV/atom: 1138
Calculated density in g cm⁻³: 11.27


(4)
## ZnReSi2 (PBE-GGA)

Data for a geometry-optimized ZnReSi2 structure.

Lattice parameters (Å, degrees): 4.241 4.241 3.071 90.00 90.00 90.00
Space group P4/mmm (No. 123)
One atom of each set of equivalent atoms:
Zn (0.000, 0.000, 0.000) [1 per cell]
Re (0.500, 0.500, 0.000) [1 per cell]
Si (0.000, 0.500, 0.500) [2 per cell]

Computed properties:
Formation energy without anion corrections in eV/atom: 0.2539
Calculated density in g cm⁻³: 9.25


(5)
## KHg3Pd (PBE-GGA)

Data for a geometry-optimized KHg3Pd structure.

Lattice parameters (Å, degrees): 4.247 6.984 9.104 90.00 103.43 90.00
Space group P2_1/m (No. 11)
One atom of each set of equivalent atoms:
K (0.008, 0.250, 0.015) [2 per cell]
Hg (0.213, 0.250, 0.427) [2 per cell]
Hg (0.368, 0.004, 0.737) [4 per cell]
Pd (0.180, 0.750, 0.359) [2 per cell]

Computed properties:
Offset from the most stable computed form in kJ/mol of formula units: 56
Calculated formation energy in meV/atom: -126
Calculated density in g cm⁻³: 9.45


(6)
## Th6Os3CS2 (PBE-GGA)

Data for a geometry-optimized Th6Os3CS2 structure.

Lattice parameters (Å, degrees): 18.285 4.065 8.145 90.00 109.07 90.00
Space group C2/m (No. 12)
One atom of each set of equivalent atoms:
Th (0.008, 0.000, 0.253) [4 per cell]
Th (0.146, 0.500, 0.598) [4 per cell]
Th (0.168, 0.500, 0.142) [4 per cell]
Os (0.000, 0.500, 0.000) [2 per cell]
Os (0.186, 0.000, 0.400) [4 per cell]
C (0.000, 0.500, 0.500) [2 per cell]
S (0.168, 0.000, 0.871) [4 per cell]

Computed properties:
Formation energy without anion corrections in eV/atom: -0.7462
Calculated density in g cm⁻³: 11.83